Entry 1:
The following is a DFT calculation (PBE) of a geometry-optimized NaTaZn structure.

Results
* symmetry: F-43m, No. 216
* formation enthalpy at 0 K: 1.2071 eV per atom
* energy above the lowest structure with this stoichiometry: 1070 meV per atom
* crystal system: cubic

a = 4.459 Å, b = 4.459 Å, c = 4.459 Å
α = 60.00°, β = 60.00°, γ = 60.00°
Atoms (fractional coordinates):
1 Ta 0.750 0.750 0.750
2 Na 0.250 0.250 0.250
3 Zn 0.000 0.000 0.000



Entry 2:
The following is a DFT calculation (PBE) of a geometry-optimized Rb2CuSbS4 structure.

Results
* symmetry: Fddd, No. 70
* crystal system: orthorhombic
* ΔE_f (raw): -0.620 eV/atom

a = 5.951 Å, b = 7.585 Å, c = 12.086 Å
α = 84.46°, β = 75.75°, γ = 66.90°
Site moments in Bohr magnetons follow the coordinates.
Atoms (fractional coordinates):
1 Rb 0.932 0.500 0.137  0.00
2 S 0.606 0.191 0.114  0.01
3 S 0.839 0.691 0.614  0.01
4 S 0.911 0.809 0.886  0.01
5 S 0.144 0.309 0.386  0.01
6 Sb 0.750 0.500 0.500  0.00
7 Cu 0.500 0.000 0.000  0.06
8 S 0.470 0.691 0.386  0.01
9 S 0.547 0.309 0.614  0.01
10 Rb 0.182 0.000 0.637  0.00
11 Sb 0.000 0.000 0.000  0.00
12 S 0.280 0.809 0.114  0.01
13 Cu 0.250 0.500 0.500  0.06
14 Rb 0.818 0.000 0.363  0.00
15 S 0.203 0.191 0.886  0.01
16 Rb 0.568 0.500 0.863  0.00



Entry 3:
The following is a DFT calculation (PBE) of a geometry-optimized LaYTl2 structure.

Results
* symmetry: P4mm, No. 99
* formation enthalpy at 0 K: -0.3729 eV per atom
* crystal system: tetragonal

a = 5.540 Å, b = 3.874 Å, c = 5.540 Å
α = 89.99°, β = 90.00°, γ = 90.00°
Atoms (fractional coordinates):
1 La 0.500 0.624 0.875
2 Y 0.000 0.626 0.375
3 Tl 0.500 0.124 0.375
4 Tl 0.000 0.125 0.875



Entry 4:
The following is a DFT calculation (PBE) of a geometry-optimized CaTh3S4 structure.

Results
* symmetry: Cmmm, No. 65
* crystal system: orthorhombic
* ΔE_f (raw): -1.866 eV/atom

a = 4.005 Å, b = 6.999 Å, c = 6.999 Å
α = 71.03°, β = 90.00°, γ = 90.00°
Atoms (fractional coordinates):
1 S 0.500 0.255 0.755
2 Th 0.000 0.000 0.000
3 Ca 0.500 0.500 0.000
4 S 0.000 0.259 0.241
5 S 0.500 0.745 0.245
6 Th 0.500 0.000 0.500
7 Th 0.000 0.500 0.500
8 S 0.000 0.742 0.759



Entry 5:
The following is a DFT calculation (PBE) of a geometry-optimized TlBiB3 structure.

Results
* symmetry: Pm-3m, No. 221
* formation enthalpy at 0 K: 2.2761 eV per atom
* crystal system: cubic

a = 4.837 Å, b = 4.837 Å, c = 4.837 Å
α = 90.00°, β = 90.00°, γ = 90.00°
Atoms (fractional coordinates):
1 Bi 0.000 0.000 0.000
2 B 0.000 0.500 0.000
3 B 0.500 0.000 0.000
4 Tl 0.500 0.500 0.500
5 B 0.000 0.000 0.500



Entry 6:
The following is a DFT calculation (PBE) of a geometry-optimized YHgI2 structure.

Results
* symmetry: Fm-3m, No. 225
* energy above the lowest structure with this stoichiometry: 343 meV per atom
* crystal system: cubic
* ΔE_f (raw): -0.551 eV/atom

a = 5.594 Å, b = 5.594 Å, c = 5.594 Å
α = 60.00°, β = 60.00°, γ = 60.00°
Site moments in Bohr magnetons follow the coordinates.
Atoms (fractional coordinates):
1 Y 0.000 0.000 0.000  0.47
2 I 0.250 0.250 0.250  -0.01
3 Hg 0.500 0.500 0.500  0.02
4 I 0.750 0.750 0.750  -0.01



Please write out number 4 again, unchanged.
The following is a DFT calculation (PBE) of a geometry-optimized CaTh3S4 structure.

Results
* symmetry: Cmmm, No. 65
* crystal system: orthorhombic
* ΔE_f (raw): -1.866 eV/atom

a = 4.005 Å, b = 6.999 Å, c = 6.999 Å
α = 71.03°, β = 90.00°, γ = 90.00°
Atoms (fractional coordinates):
1 S 0.500 0.255 0.755
2 Th 0.000 0.000 0.000
3 Ca 0.500 0.500 0.000
4 S 0.000 0.259 0.241
5 S 0.500 0.745 0.245
6 Th 0.500 0.000 0.500
7 Th 0.000 0.500 0.500
8 S 0.000 0.742 0.759